(1)
## Li2MgMn (PBE-GGA)

Data for a geometry-optimized Li2MgMn structure.

Properties
Symmetry   Imm2, No. 44
E_tot   -3.408 eV/atom
Formation enthalpy at 0 K   0.240 eV per atom

Cell: 5.4176 5.4176 5.4176 Å, 144.98 128.40 63.89°
Element x y z (fractional)
Li 0.9926 0.9926 0.0000
Li 0.7607 0.2607 0.5000
Mg 0.5057 0.5057 0.0000
Mn 0.2409 0.7409 0.5000

***

(2)
## LiMg2Mn (PBE-GGA)

Data for a geometry-optimized LiMg2Mn structure.

Properties
Symmetry   F-43m, No. 216
E_tot   -3.366 eV/atom
Formation enthalpy at 0 K   0.203 eV per atom

Cell: 4.7300 4.7300 4.7300 Å, 60.00 60.00 60.00°
Element x y z (fractional)
Li 0.5000 0.5000 0.5000
Mg 0.0000 0.0000 0.0000
Mg 0.2500 0.2500 0.2500
Mn 0.7500 0.7500 0.7500

***

(3)
## Li2MgMn (PBE-GGA)

Data for a geometry-optimized Li2MgMn structure.

Properties
Symmetry   Pm, No. 6
E_tot   -3.425 eV/atom
Formation enthalpy at 0 K   0.223 eV per atom

Cell: 4.4623 2.8260 5.9061 Å, 74.04 90.00 90.00°
Element x y z (fractional)
Li 0.0000 0.0357 0.9962
Li 0.5000 0.1944 0.2410
Mg 0.0000 0.4687 0.5134
Mn 0.5000 0.8012 0.7495

***

(4)
## LiMg2Mn (PBE-GGA)

Data for a geometry-optimized LiMg2Mn structure.

Properties
Symmetry   P4mm, No. 99
E_tot   -3.373 eV/atom
Formation enthalpy at 0 K   0.195 eV per atom

Cell: 3.3177 3.3177 6.7909 Å, 90.00 90.00 90.00°
Element x y z (fractional)
Li 0.5000 0.5000 0.7286
Mg 0.0000 0.0000 0.9767
Mg 0.5000 0.5000 0.2775
Mn 0.0000 0.0000 0.5172

***

(5)
## Li2MgMn (PBE-GGA)

Data for a geometry-optimized Li2MgMn structure.

Properties
Symmetry   I-42d, No. 122
E_tot   -3.232 eV/atom
Formation enthalpy at 0 K   0.416 eV per atom

Cell: 7.2994 7.2994 5.8704 Å, 51.56 51.56 90.00°
Element x y z (fractional)
Mg 0.5000 0.5000 0.0000
Mg 0.2500 0.7500 0.5000
Mn 0.0000 0.0000 0.0000
Mn 0.7500 0.2500 0.5000
Li 0.6370 0.1250 0.2500
Li 0.1130 0.6250 0.2500
Li 0.3750 0.3630 0.7500
Li 0.8750 0.8870 0.7500

***

(6)
## LiMg6Mn (PBE-GGA)

Data for a geometry-optimized LiMg6Mn structure.

Properties
Symmetry   Amm2, No. 38
E_tot   -2.488 eV/atom
Formation enthalpy at 0 K   0.093 eV per atom

Cell: 6.2388 6.2388 4.9408 Å, 90.00 90.00 119.12°
Element x y z (fractional)
Li 0.6647 0.3353 0.5000
Mg 0.1679 0.3348 0.5000
Mg 0.6652 0.8321 0.5000
Mg 0.3344 0.1587 0.0000
Mg 0.8413 0.6656 0.0000
Mg 0.3295 0.6705 0.0000
Mg 0.8320 0.1680 0.0000
Mn 0.1650 0.8350 0.5000

***

Which of these has the lowest formation enthalpy at 0 K? LiMg6Mn